Model A:
Computed, not measured: an optimized crystal structure of MgBeFeB at the PBE level of DFT.

Unit cell a=3.829 b=3.829 c=3.829 alpha=60.00 beta=60.00 gamma=60.00
Element x y z (fractional)
Mg  0.000  0.000  0.000
Be  0.250  0.250  0.250
Fe  0.750  0.750  0.750
B  0.500  0.500  0.500

Spin magnetization, Bohr magnetons per cell: 0.0
Mass density, Mg/m³: 4.2



Model B:
Computed, not measured: an optimized crystal structure of MgBeFeB at the PBE level of DFT.

Unit cell a=3.809 b=3.809 c=3.809 alpha=60.00 beta=60.00 gamma=60.00
Element x y z (fractional)
Mg  0.000  0.000  0.000
Be  0.750  0.750  0.750
Fe  0.500  0.500  0.500
B  0.250  0.250  0.250

Spin magnetization, Bohr magnetons per cell: 0.7
Mass density, Mg/m³: 4.2



Which is most stable? The ranking, best first, is model B, model A.